Computed, not measured: Sc4Tl3Ag after structural relaxation at the GGA-PBE level of DFT.

Cell: 3.4202 3.4202 15.4532 Å, 90.00 90.00 90.00°
With the nearest neighbours (Å) after each atom.
Space group P4/mmm (No. 123)
Unique sites:
Sc: 0.0000 0.0000 0.1110 [2 per cell]  4 Ag 2.97, 4 Tl 3.12
Sc: 0.0000 0.0000 0.3695 [2 per cell]  8 Tl 3.15, 4 Sc 3.42
Tl: 0.5000 0.5000 0.2388 [2 per cell]  8 Sc 3.12-3.15, 4 Tl 3.42
Tl: 0.5000 0.5000 0.5000 [1 per cell]  8 Sc 3.15, 4 Tl 3.42
Ag: 0.5000 0.5000 0.0000 [1 per cell]  8 Sc 2.97

Values from the calculation:
The calculation puts the magnetic moment at 0.426 μB per formula unit. For the density of states at the Fermi level, the calculation gives 0.691 states/eV/atom. The energy of formation from the pure elements is -0.271 eV per atom.